Arrangement P

A plane-wave DFT calculation with GGA-PBE was carried out for an optimized crystal structure of Nd2ScBr.

SG: No. 166
Spin magnetization in Bohr magnetons per cell: 0.00

```
Nd2ScBr
1.0
3.481 0.000 0.000
1.740 3.014 0.000
1.740 1.005 11.332
Sc Nd Br
1 2 1
Cartesian
0.000 0.000 0.000
1.740 1.005 8.111
5.221 3.014 3.222
3.481 2.010 5.666
```

---

Arrangement Q

A plane-wave DFT calculation with GGA-PBE was carried out for an optimized crystal structure of Nd2ScBr.

SG: No. 123
Spin magnetization in Bohr magnetons per cell: 0.00

```
Nd2ScBr
1.0
-1.698 1.519 -2.715
2.123 -1.696 -2.276
-6.015 -7.184 -0.257
Br Nd Sc
1 2 1
Cartesian
-2.795 -3.681 -2.624
-4.468 -5.336 -0.191
-1.547 -1.848 -0.066
0.213 -0.089 -2.495
```

---

How far above the most stable structure does each one sit? In meV per atom: arrangement P 174; arrangement Q 0.